Entry 1:
Entry from Alexandria: a geometry-optimized Na2Bi2Br7 structure (PBE).

Results
Formation energy (no corrections) ... -0.88 eV per atom
Total magnetization ... 1.1 μB per formula unit
Symmetry ... C2/m, No. 12

Unit cell a=7.775 b=7.887 c=7.887 alpha=105.14 beta=94.18 gamma=94.18
Last column: magnetic moment on the atom in μB.
Positions (direct):
Na  0.500  0.310  0.690  0.00
Na  0.500  0.690  0.310  0.00
Bi  0.095  0.718  0.718  0.33
Bi  0.905  0.282  0.282  0.33
Br  0.292  0.570  0.939  0.00
Br  0.708  0.061  0.430  0.00
Br  0.708  0.430  0.061  0.00
Br  0.292  0.939  0.570  0.00
Br  0.269  0.400  0.400  0.05
Br  0.000  0.000  0.000  0.00
Br  0.731  0.600  0.600  0.05


Entry 2:
Entry from Alexandria: a geometry-optimized KBi2Cl structure (PBE).

Results
Formation energy (no corrections) ... -0.65 eV per atom
Relative energy among the computed polymorphs ... 0.0 meV/atom
Total magnetization ... 0.0 μB per formula unit
Symmetry ... I-42d, No. 122

Unit cell a=4.483 b=4.483 c=16.108 alpha=82.00 beta=82.00 gamma=90.00
Positions (direct):
K  0.000  0.000  0.000
K  0.750  0.250  0.500
Bi  0.656  0.125  0.250
Bi  0.094  0.625  0.250
Bi  0.375  0.344  0.750
Bi  0.875  0.906  0.750
Cl  0.500  0.500  0.000
Cl  0.250  0.750  0.500


Entry 3:
Entry from Alexandria: a geometry-optimized Ca2InRh3O8 structure (PBE).

Results
Formation energy (no corrections) ... -1.47 eV per atom
Total magnetization ... 0.0 μB per formula unit
Symmetry ... R3m, No. 160

Unit cell a=6.451 b=6.451 c=6.357 alpha=59.51 beta=59.51 gamma=60.00
Positions (direct):
Ca  0.120  0.120  0.640
Ca  0.498  0.498  0.505
In  0.887  0.887  0.340
Rh  0.498  0.005  0.000
Rh  0.005  0.498  0.000
Rh  0.498  0.498  0.000
O  0.269  0.269  0.193
O  0.736  0.736  0.793
O  0.247  0.247  0.802
O  0.705  0.247  0.802
O  0.247  0.705  0.802
O  0.750  0.286  0.215
O  0.286  0.750  0.215
O  0.750  0.750  0.215


Entry 4:
Entry from Alexandria: a geometry-optimized ScCrAg2 structure (PBE).

Results
Relative energy among the computed polymorphs ... 51.7 meV/atom
Total magnetization ... 3.1 μB per formula unit
Symmetry ... P4mm, No. 99

Unit cell a=3.465 b=3.465 c=6.079 alpha=90.00 beta=90.00 gamma=90.00
Last column: magnetic moment on the atom in μB.
Positions (direct):
Ag  0.000  0.000  0.006  -0.03
Ag  0.500  0.500  0.258  0.01
Cr  0.000  0.000  0.492  3.12
Sc  0.500  0.500  0.744  -0.16